Material: GeAu4S5
Method: DFT, GGA-PBE
State: relaxed

Cell: 4.937 6.724 6.724 Å, 82.26 68.46 68.46°
Element x y z (fractional)
Ge1 0.001 0.000 0.000
Au1 0.405 0.377 0.815
Au2 0.782 0.815 0.623
Au3 0.220 0.185 0.377
Au4 0.597 0.623 0.185
S1 0.965 0.315 0.757
S2 0.280 0.757 0.685
S3 0.722 0.243 0.315
S4 0.037 0.685 0.243
S5 0.501 0.000 0.000

Properties
Magnetic moment (μB per formula unit): 0.00
Formation energy without anion corrections (meV/atom): 76
Volume (Å³ per cell): 193.1
Space group: I4/m
Crystal system: tetragonal
Mass density (g cm⁻³): 8.779